1.
Below is BaRe2Au after structural relaxation, with properties calculated at the PBE level.

Calculated values
Size of the total moment (μB per cell): 0.00
Volume (Å³ per cell): 93.9
ΔE to the lowest computed polymorph (eV/atom): 0.718
ρ (Mg/m³): 12.495
Raw total energy (eV/f.u.): -25.8

Lattice parameters (Å, degrees): 3.568 3.568 7.377 90.00 90.00 90.00
Sites, in units of the cell vectors:
Ba 0.500 0.500 0.750
Re 0.000 0.000 0.095
Au 0.500 0.500 0.250
Re 0.000 0.000 0.405

***

2.
Below is Y3Al9Pd2 after structural relaxation, with properties calculated at the PBE level.

Calculated values
Size of the total moment (μB per cell): 0.00
Volume (Å³ per cell): 264.1
ρ (Mg/m³): 4.543
Raw total energy (eV/f.u.): -72.3

Lattice parameters (Å, degrees): 4.305 8.224 8.224 73.65 74.83 74.83
Sites, in units of the cell vectors:
Al 0.131 0.587 0.151
Al 0.344 0.023 0.289
Al 0.869 0.849 0.413
Al 0.869 0.413 0.849
Pd 0.500 0.303 0.697
Pd 0.500 0.697 0.303
Al 0.656 0.977 0.711
Y 0.697 0.303 0.303
Y 0.303 0.697 0.697
Al 0.000 0.500 0.500
Al 0.656 0.711 0.977
Al 0.344 0.289 0.023
Y 0.000 0.000 0.000
Al 0.131 0.151 0.587

***

3.
Below is Si2AgW after structural relaxation, with properties calculated at the PBE level.

Calculated values
Size of the total moment (μB per cell): 0.00
Volume (Å³ per cell): 61.6
ΔE to the lowest computed polymorph (eV/atom): 0.012
ρ (Mg/m³): 9.379
Raw total energy (eV/f.u.): -25.8

Lattice parameters (Å, degrees): 3.230 3.230 5.902 90.00 90.00 90.00
Sites, in units of the cell vectors:
Ag 0.500 0.500 0.750
Si 0.000 0.000 0.031
W 0.500 0.500 0.250
Si 0.000 0.000 0.469

***

4.
Below is ZnTc2Se after structural relaxation, with properties calculated at the PBE level.

Calculated values
Size of the total moment (μB per cell): 0.00
Volume (Å³ per cell): 60.7
ΔE to the lowest computed polymorph (eV/atom): 0.226
ρ (Mg/m³): 9.304
Raw total energy (eV/f.u.): -24.4

Lattice parameters (Å, degrees): 4.292 4.292 5.185 80.00 80.00 40.32
Sites, in units of the cell vectors:
Se 0.250 0.250 0.250
Tc 0.999 0.999 0.019
Zn 0.750 0.750 0.750
Tc 0.501 0.501 0.481

***

5.
Below is Cu6Au7 after structural relaxation, with properties calculated at the PBE level.

Calculated values
Size of the total moment (μB per cell): 0.00
Volume (Å³ per cell): 233.3
ρ (Mg/m³): 12.527
Raw total energy (eV/f.u.): -44.5

Lattice parameters (Å, degrees): 9.642 9.642 9.642 32.75 32.75 32.75
Sites, in units of the cell vectors:
Au 0.580 0.078 0.580
Au 0.078 0.580 0.580
Au 0.500 0.500 0.500
Cu 0.667 0.667 0.667
Au 0.580 0.580 0.078
Cu 0.077 0.077 0.077
Au 0.922 0.420 0.420
Cu 0.170 0.170 0.170
Au 0.420 0.922 0.420
Au 0.420 0.420 0.922
Cu 0.923 0.923 0.923
Cu 0.830 0.830 0.830
Cu 0.333 0.333 0.333

***

6.
Below is Ho5Tl2HgIr2 after structural relaxation, with properties calculated at the PBE level.

Calculated values
Size of the total moment (μB per cell): 0.00
Volume (Å³ per cell): 518.1
ρ (Mg/m³): 11.658
Raw total energy (eV/f.u.): -51.1

Lattice parameters (Å, degrees): 3.614 11.973 11.973 90.00 90.00 90.00
Sites, in units of the cell vectors:
Ho 0.500 0.794 0.922
Tl 0.000 0.828 0.672
Ho 0.500 0.206 0.078
Ir 0.000 0.131 0.631
Ho 0.500 0.578 0.706
Ir 0.000 0.631 0.869
Hg 0.000 0.000 0.000
Ho 0.500 0.294 0.578
Tl 0.000 0.172 0.328
Ho 0.500 0.922 0.206
Ho 0.500 0.078 0.794
Ir 0.000 0.369 0.131
Ho 0.500 0.000 0.500
Ir 0.000 0.869 0.369
Ho 0.500 0.500 0.000
Ho 0.500 0.422 0.294
Ho 0.500 0.706 0.422
Hg 0.000 0.500 0.500
Tl 0.000 0.328 0.828
Tl 0.000 0.672 0.172

***

7.
Below is YGeP2O after structural relaxation, with properties calculated at the PBE level.

Calculated values
Size of the total moment (μB per cell): 0.00
Volume (Å³ per cell): 89.3
ΔE to the lowest computed polymorph (eV/atom): 0.000
ρ (Mg/m³): 4.452
Raw total energy (eV/f.u.): -29.2

Lattice parameters (Å, degrees): 4.880 4.880 3.751 90.00 90.00 90.00
Sites, in units of the cell vectors:
Ge 0.000 0.000 0.000
P 0.000 0.500 0.000
Y 0.500 0.500 0.500
O 0.000 0.000 0.500
P 0.500 0.000 0.000

***

8.
Below is PmPrEr6 after structural relaxation, with properties calculated at the PBE level.

Calculated values
Size of the total moment (μB per cell): 0.00
Volume (Å³ per cell): 280.5
ΔE to the lowest computed polymorph (eV/atom): 0.119
ρ (Mg/m³): 7.633
Raw total energy (eV/f.u.): -34.0

Lattice parameters (Å, degrees): 6.099 6.099 9.334 86.45 117.09 113.45
Sites, in units of the cell vectors:
Pm 0.000 0.000 0.000
Pr 0.500 0.000 0.500
Er 0.701 0.376 0.077
Er 0.841 0.939 0.298
Er 0.641 0.543 0.702
Er 0.359 0.457 0.298
Er 0.159 0.061 0.702
Er 0.299 0.624 0.923

***

9.
Below is BeAl2Pt after structural relaxation, with properties calculated at the PBE level.

Calculated values
Size of the total moment (μB per cell): 0.00
Volume (Å³ per cell): 55.3
ρ (Mg/m³): 7.752
Raw total energy (eV/f.u.): -18.8

Lattice parameters (Å, degrees): 4.466 4.466 2.925 90.00 90.00 108.61
Sites, in units of the cell vectors:
Al 0.000 0.000 0.000
Pt 0.000 0.500 0.500
Al 0.500 0.500 0.000
Be 0.500 0.000 0.500

***

10.
Below is Rb3CrPb after structural relaxation, with properties calculated at the PBE level.

Calculated values
Size of the total moment (μB per cell): 7.00
Volume (Å³ per cell): 367.2
ΔE to the lowest computed polymorph (eV/atom): 0.000
ρ (Mg/m³): 2.331
Raw total energy (eV/f.u.): -12.5

Lattice parameters (Å, degrees): 7.161 7.161 7.161 90.00 90.00 90.00
Each line ends with the local moment (μB).
Sites, in units of the cell vectors:
Rb 0.000 0.500 0.000  0.02
Pb 0.000 0.000 0.000  0.46
Rb 0.000 0.000 0.500  0.04
Rb 0.500 0.000 0.000  0.02
Cr 0.500 0.500 0.500  4.42

***

11.
Below is LaOs2 after structural relaxation, with properties calculated at the PBE level.

Calculated values
Size of the total moment (μB per cell): 0.00
Volume (Å³ per cell): 130.7
ρ (Mg/m³): 13.197
Raw total energy (eV/f.u.): -25.9

Lattice parameters (Å, degrees): 10.593 10.593 4.157 90.00 90.00 163.73
Sites, in units of the cell vectors:
Os 0.752 0.248 0.250
Os 0.527 0.473 0.750
Os 0.248 0.752 0.750
La 0.879 0.121 0.750
La 0.121 0.879 0.250
Os 0.473 0.527 0.250

***

12.
Below is MgTa4W after structural relaxation, with properties calculated at the PBE level.

Calculated values
Size of the total moment (μB per cell): 0.00
Volume (Å³ per cell): 113.8
ρ (Mg/m³): 13.602
Raw total energy (eV/f.u.): -59.0

Lattice parameters (Å, degrees): 5.439 5.439 5.439 60.00 60.00 60.00
Sites, in units of the cell vectors:
Ta 0.376 0.376 0.872
Ta 0.376 0.376 0.376
W 0.750 0.750 0.750
Ta 0.872 0.376 0.376
Ta 0.376 0.872 0.376
Mg 0.000 0.000 0.000